(1)
DFT (PBE-GGA) results for a relaxed MoOs2 crystal.

symmetry	P6_3/mmc
energy above the most stable polymorph in this dataset	164	meV per atom
ΔE_f	145	meV per atom
uncorrected energy	-10.95	eV/atom

a = 4.3681 Å, b = 4.3681 Å, c = 5.4627 Å
α = 90.00°, β = 90.00°, γ = 120.00°
Closest atoms and distances in Å follow each position.
Atoms (fractional coordinates):
Os1 0.0000 0.0000 0.0000  8 Os 2.73-2.87, 6 Mo 2.87
Os2 0.0000 0.0000 0.5000  8 Os 2.73-2.87, 6 Mo 2.87
Os3 0.6667 0.3333 0.2500  5 Mo 2.52-2.73
Os4 0.3333 0.6667 0.7500  5 Mo 2.52-2.73
Mo1 0.3333 0.6667 0.2500  5 Os 2.52-2.73
Mo2 0.6667 0.3333 0.7500  5 Os 2.52-2.73

***

(2)
DFT (PBE-GGA) results for a relaxed K2CeCl6 crystal.

symmetry	P2_1/c
uncorrected energy	-4.14	eV/atom
formation energy from raw total energies	-2.009	eV per atom

a = 7.4866 Å, b = 8.0707 Å, c = 10.5561 Å
α = 90.00°, β = 96.59°, γ = 90.00°
Closest atoms and distances in Å follow each position.
Atoms (fractional coordinates):
Cl1 0.6455 0.4421 0.2343  1 Ce 2.63
Cl2 0.7853 0.6720 0.9507  1 Ce 2.65
Cl3 0.3453 0.7708 0.0763  1 Ce 2.64
Cl4 0.7147 0.1720 0.5493  1 Ce 2.65
Cl5 0.2147 0.3280 0.0493  1 Ce 2.65
Cl6 0.3545 0.5579 0.7657  1 Ce 2.63
Cl7 0.1455 0.0579 0.7343  1 Ce 2.63
Cl8 0.8545 0.9421 0.2657  1 Ce 2.63
Cl9 0.2853 0.8280 0.4507  1 Ce 2.65
Cl10 0.6547 0.2292 0.9237  1 Ce 2.64
Cl11 0.8453 0.7292 0.5763  1 Ce 2.64
Cl12 0.1547 0.2708 0.4237  1 Ce 2.64
K1 0.5455 0.9125 0.7358  7 Cl 3.21-3.46
K2 0.0455 0.5875 0.2358  7 Cl 3.21-3.46
K3 0.9545 0.4125 0.7642  7 Cl 3.21-3.46
K4 0.4545 0.0875 0.2642  7 Cl 3.21-3.46
Ce1 0.5000 0.5000 0.0000  6 Cl 2.63-2.65
Ce2 0.0000 0.0000 0.5000  6 Cl 2.63-2.65

***

(3)
DFT (PBE-GGA) results for a relaxed TeP2IrRh crystal.

symmetry	P4/mmm
uncorrected energy	-5.11	eV/atom
formation energy from raw total energies	0.922	eV per atom

a = 4.3946 Å, b = 5.3794 Å, c = 4.3946 Å
α = 90.00°, β = 90.00°, γ = 90.00°
Closest atoms and distances in Å follow each position.
Atoms (fractional coordinates):
Rh1 0.0000 0.0000 0.0000  4 P 2.20
Te1 0.0000 0.5000 0.0000  2 Rh 2.69
P1 0.0000 0.0000 0.5000  2 Rh 2.20
P2 0.5000 0.0000 0.0000  2 Rh 2.20
Ir1 0.5000 0.5000 0.5000  4 Te 3.11, 8 P 3.47

***

(4)
DFT (PBE-GGA) results for a relaxed RhC3 crystal.

symmetry	I4/mmm
energy above the most stable polymorph in this dataset	2342	meV per atom
ΔE_f	2909	meV per atom
uncorrected energy	-5.85	eV/atom

a = 3.8065 Å, b = 3.8065 Å, c = 3.8065 Å
α = 125.85°, β = 125.85°, γ = 80.14°
Closest atoms and distances in Å follow each position.
Atoms (fractional coordinates):
Rh1 0.0000 0.0000 0.0000  12 C 2.26-2.45
C1 0.7500 0.2500 0.5000  4 Rh 2.26, 8 C 2.26-2.45
C2 0.5000 0.5000 0.0000  8 C 2.26, 4 Rh 2.45
C3 0.2500 0.7500 0.5000  8 C 2.26-2.45, 4 Rh 2.26

***

Question: Look up the uncorrected energy of the third one.
Answer: -5.11 eV/atom

***

Question: The highest uncorrected energy belongs to which entry?
Answer: K2CeCl6